Entry 1:
## AcSmGaCo (PBE-GGA)

Data for a relaxed structure of AcSmGaCo.

DFT formation energy in eV/f.u.: -0.5
Fermi-level density of states in states/eV per atom: 0.707

Cell lengths 7.3917, 7.3917, 7.3917 Å; angles 90.00, 90.00, 90.00 degrees
Space group F-43m (No. 216)
Symmetry-distinct sites (fractional):
Ac1 0.0000 0.0000 0.0000 x4
Sm1 0.0000 0.0000 0.5000 x4
Ga1 0.2500 0.2500 0.2500 x4
Co1 0.2500 0.2500 0.7500 x4

***

Entry 2:
## AcTbGaCo (PBE-GGA)

Data for a relaxed structure of AcTbGaCo.

DFT formation energy in eV/f.u.: -0.5
Fermi-level density of states in states/eV per atom: 0.700

Cell lengths 7.3322, 7.3322, 7.3322 Å; angles 90.00, 90.00, 90.00 degrees
Space group F-43m (No. 216)
Symmetry-distinct sites (fractional):
Ac1 0.0000 0.0000 0.0000 x4
Tb1 0.0000 0.0000 0.5000 x4
Ga1 0.2500 0.2500 0.7500 x4
Co1 0.2500 0.2500 0.2500 x4

***

Entry 3:
## Ac2Ga6CoTc (PBE-GGA)

Data for a relaxed structure of Ac2Ga6CoTc.

DFT formation energy in eV/f.u.: -4.3
Fermi-level density of states in states/eV per atom: 0.367

Cell lengths 6.7104, 6.7386, 9.5087 Å; angles 90.00, 90.00, 90.00 degrees
Space group Immm (No. 71)
Symmetry-distinct sites (fractional):
Ac1 0.0000 0.0000 0.2444 x4
Ga1 0.0000 0.5000 0.2419 x4
Ga2 0.2475 0.2636 0.0000 x8
Co1 0.0000 0.5000 0.0000 x2
Tc1 0.0000 0.5000 0.5000 x2

***

Entry 4:
## AcYGaCo (PBE-GGA)

Data for a relaxed structure of AcYGaCo.

DFT formation energy in eV/f.u.: -0.5
Fermi-level density of states in states/eV per atom: 0.718

Cell lengths 7.3325, 7.3325, 7.3325 Å; angles 90.00, 90.00, 90.00 degrees
Space group F-43m (No. 216)
Symmetry-distinct sites (fractional):
Ac1 0.0000 0.0000 0.0000 x4
Y1 0.0000 0.0000 0.5000 x4
Ga1 0.2500 0.2500 0.2500 x4
Co1 0.2500 0.2500 0.7500 x4

***

Entry 5:
## AcZn2GaCo (PBE-GGA)

Data for a relaxed structure of AcZn2GaCo.

DFT formation energy in eV/f.u.: -1.5
Fermi-level density of states in states/eV per atom: 0.823

Cell lengths 4.7172, 4.7172, 4.6074 Å; angles 90.00, 90.00, 90.00 degrees
Space group P4/mmm (No. 123)
Symmetry-distinct sites (fractional):
Ac1 0.0000 0.0000 0.0000 x1
Zn1 0.0000 0.5000 0.5000 x2
Ga1 0.5000 0.5000 0.0000 x1
Co1 0.5000 0.5000 0.5000 x1

***

Entry 6:
## AcGdCo2 (PBE-GGA)

Data for a relaxed structure of AcGdCo2.

DFT formation energy in eV/f.u.: 0.3
Fermi-level density of states in states/eV per atom: 0.732

Cell lengths 3.5258, 3.5258, 7.0055 Å; angles 90.00, 90.00, 90.00 degrees
Space group P4/mmm (No. 123)
Symmetry-distinct sites (fractional):
Ac1 0.0000 0.0000 0.0000 x1
Gd1 0.0000 0.0000 0.5000 x1
Co1 0.5000 0.5000 0.2755 x2

***

Repeat the first record exactly.
## AcSmGaCo (PBE-GGA)

Data for a relaxed structure of AcSmGaCo.

DFT formation energy in eV/f.u.: -0.5
Fermi-level density of states in states/eV per atom: 0.707

Cell lengths 7.3917, 7.3917, 7.3917 Å; angles 90.00, 90.00, 90.00 degrees
Space group F-43m (No. 216)
Symmetry-distinct sites (fractional):
Ac1 0.0000 0.0000 0.0000 x4
Sm1 0.0000 0.0000 0.5000 x4
Ga1 0.2500 0.2500 0.2500 x4
Co1 0.2500 0.2500 0.7500 x4

***

Question: Fermi-level density of states of number 6 (AcGdCo2)?
Answer: 0.732 states/eV per atom

***

Question: DFT formation energy of number 1 (AcSmGaCo)?
Answer: -0.5 eV/f.u.

***

Question: Which of these has the lowest DFT formation energy?
Answer: Ac2Ga6CoTc